1.
HfCuMo | Alexandria via LeMat-Bulk | PBE-GGA | optimized geometry; electronic total energy = -8.230 eV per atom; offset from the most stable computed form = 0.70 eV per formula unit; calculated formation energy = 18.5 kJ/mol of formula units
1.0
5.926 0.000 0.009
0.000 4.207 0.000
-5.390 0.000 8.028
Cu Hf Mo
4 4 4
Cartesian
0.561 2.103 5.666
3.257 0.000 1.652
2.530 2.103 0.411
-0.165 0.000 4.425
-4.114 0.000 7.038
1.544 2.103 3.048
-1.152 0.000 7.062
-1.419 2.103 3.024
2.744 0.000 4.474
0.376 0.000 1.600
5.439 2.103 0.460
-2.320 2.103 5.614

=====

2.
HfCuMo | Alexandria via LeMat-Bulk | PBE-GGA | optimized geometry; electronic total energy = -8.243 eV per atom; offset from the most stable computed form = 0.66 eV per formula unit; calculated formation energy = 14.8 kJ/mol of formula units
1.0
4.852 0.000 -0.009
0.000 4.351 0.000
-2.076 0.000 4.772
Hf Mo Cu
2 2 2
Cartesian
-0.246 3.264 1.098
3.022 1.088 3.665
2.677 1.088 0.639
0.099 3.264 4.124
0.634 1.088 2.443
2.141 3.264 2.320

=====

3.
HfCuMo2 | Alexandria via LeMat-Bulk | PBE-GGA | optimized geometry; electronic total energy = -8.523 eV per atom; offset from the most stable computed form = 0.00 eV per formula unit; calculated formation energy = 156.2 kJ/mol of formula units
1.0
0.783 -3.821 2.262
-0.232 -0.043 4.502
-3.394 -2.135 2.062
Hf Mo Cu
1 2 1
Cartesian
-1.421 -2.999 4.413
-0.711 -1.500 2.207
-2.132 -4.499 6.620
0.000 0.000 0.000

=====

4.
HfCu2Mo2 | Alexandria via LeMat-Bulk | PBE-GGA | optimized geometry; electronic total energy = -7.597 eV per atom; calculated formation energy = 175.8 kJ/mol of formula units
1.0
-2.218 -2.362 -2.017
-1.468 -1.387 3.239
-6.001 2.164 0.455
Hf Cu Mo
1 2 2
Cartesian
0.000 0.000 0.000
-4.656 -0.549 2.152
-5.031 -1.036 -0.476
-7.014 -0.518 1.097
-2.674 -1.068 0.580

=====

5.
HfCuMo | Alexandria via LeMat-Bulk | PBE-GGA | optimized geometry; electronic total energy = -8.225 eV per atom; offset from the most stable computed form = 0.71 eV per formula unit; calculated formation energy = 19.8 kJ/mol of formula units
1.0
-4.021 0.386 -3.664
2.634 -1.752 -3.075
-1.300 -7.861 3.363
Mo Cu Hf
4 4 4
Cartesian
-1.199 -3.962 1.229
-1.319 -6.627 2.644
0.768 -0.907 -1.991
0.648 -3.573 -0.575
-1.386 -1.528 -3.482
-3.369 -1.792 -1.865
-2.702 -6.598 -1.721
-3.353 -4.583 -0.263
-1.574 -4.039 -2.212
-3.541 -7.094 1.007
-1.244 -1.423 -0.255
-0.577 -6.230 -0.111

=====

6.
Hf3CuMo | Alexandria via LeMat-Bulk | PBE-GGA | optimized geometry; electronic total energy = -8.071 eV per atom; offset from the most stable computed form = 0.00 eV per formula unit; calculated formation energy = 427.7 kJ/mol of formula units
1.0
-3.557 3.101 -0.669
0.356 -0.609 -4.714
-3.153 -3.568 0.223
Cu Hf Mo
1 3 1
Cartesian
0.000 0.000 0.000
-1.576 -1.784 0.112
0.178 -0.305 -2.357
-1.779 1.551 -0.334
-3.177 -0.538 -2.580

=====

7.
HfCuMo | Alexandria via LeMat-Bulk | PBE-GGA | optimized geometry; electronic total energy = -8.319 eV per atom; offset from the most stable computed form = 0.43 eV per formula unit; calculated formation energy = -7.3 kJ/mol of formula units
1.0
-2.361 -13.096 -3.602
4.114 -0.347 -1.435
0.958 -0.994 2.986
Hf Mo Cu
4 4 4
Cartesian
-0.390 -2.165 -0.596
-1.971 -10.931 -3.007
1.267 -4.557 -1.923
0.486 -8.887 -3.114
-1.180 -6.548 -1.801
2.057 -0.173 -0.718
0.479 -0.497 1.493
1.356 -7.219 -1.026
-1.074 -9.112 -0.877
0.548 -11.700 -2.259
-0.329 -4.979 0.260
2.163 -2.737 0.207

=====

8.
HfCuMo | Alexandria via LeMat-Bulk | PBE-GGA | optimized geometry; electronic total energy = -8.236 eV per atom; offset from the most stable computed form = 0.68 eV per formula unit; calculated formation energy = 16.8 kJ/mol of formula units
1.0
-2.244 -2.906 -2.359
4.223 -0.683 0.861
-1.522 -2.972 5.108
Mo Hf Cu
2 2 2
Cartesian
-1.525 -4.971 3.537
1.983 -1.590 0.073
-0.395 -0.772 1.327
-1.127 -2.200 3.781
1.264 -2.994 2.486
-0.806 -3.567 1.123

=====

9.
NaHf2CuMo | Alexandria via LeMat-Bulk | PBE-GGA | optimized geometry; electronic total energy = -6.004 eV per atom; calculated formation energy = 591.7 kJ/mol of formula units
1.0
-2.606 1.586 3.853
-3.944 -3.456 -1.245
2.104 -3.422 2.832
Na Mo Cu Hf
1 1 1 2
Cartesian
-1.972 -1.728 -0.622
0.000 0.000 0.000
-2.223 -2.646 2.720
1.052 -1.711 1.416
-1.303 0.793 1.927

=====

10.
HfNbCuMo | Alexandria via LeMat-Bulk | PBE-GGA | optimized geometry; electronic total energy = -8.758 eV per atom; calculated formation energy = -7.8 kJ/mol of formula units
1.0
4.581 0.000 0.000
2.290 3.967 0.000
2.290 1.322 3.740
Hf Cu Mo Nb
1 1 1 1
Cartesian
0.000 0.000 0.000
2.290 1.322 0.935
6.871 3.967 2.805
4.581 2.645 1.870

=====

11.
HfCu2MoP | Alexandria via LeMat-Bulk | PBE-GGA | optimized geometry; electronic total energy = -5.109 eV per atom; calculated formation energy = 853.2 kJ/mol of formula units
1.0
4.782 0.000 0.000
0.000 4.769 0.000
0.000 0.000 4.782
P Cu Hf Mo
1 2 1 1
Cartesian
2.391 2.384 2.391
0.000 0.000 2.391
2.391 0.000 0.000
0.000 0.000 0.000
0.000 2.384 0.000

=====

12.
HfPaCuMo | Alexandria via LeMat-Bulk | PBE-GGA | optimized geometry; electronic total energy = -8.554 eV per atom; calculated formation energy = 15.3 kJ/mol of formula units
1.0
4.770 0.000 0.000
2.385 4.131 0.000
2.385 1.377 3.895
Cu Hf Pa Mo
1 1 1 1
Cartesian
2.385 1.377 0.974
4.770 2.754 1.948
0.000 0.000 0.000
7.156 4.131 2.921

=====

Number 1: spin magnetization 0.00 μB per formula unit. Number 2: spin magnetization 0.00 μB per formula unit. Number 3: spin magnetization 0.00 μB per formula unit. Number 4: spin magnetization 0.00 μB per formula unit. Number 5: spin magnetization 0.00 μB per formula unit. Number 6: spin magnetization 0.00 μB per formula unit. Number 7: spin magnetization 0.00 μB per formula unit. Number 8: spin magnetization 0.00 μB per formula unit. Number 9: spin magnetization 0.00 μB per formula unit. Number 10: spin magnetization 0.00 μB per formula unit. Number 11: spin magnetization 1.02 μB per formula unit. Number 12: spin magnetization 0.00 μB per formula unit.